## LaMgTa4 (GGA-PBE)

Data for a relaxed structure of LaMgTa4.

Lattice parameters (Å, degrees): 5.7236 5.7236 5.7236 60.00 60.00 60.00
With the nearest neighbours (Å) after each atom.
Positions (direct):
Mg 0.0000 0.0000 0.0000  12 Ta 3.36, 4 La 3.50
La 0.7500 0.7500 0.7500  12 Ta 3.35, 4 Mg 3.50
Ta 0.3763 0.3763 0.3763  6 Ta 2.83-2.89
Ta 0.3763 0.8712 0.3763  6 Ta 2.83-2.89
Ta 0.8712 0.3763 0.3763  6 Ta 2.83-2.89
Ta 0.3763 0.3763 0.8712  6 Ta 2.83-2.89

Output
Raw total energy = -8.572 eV/atom
ΔH_f (0 K) = 0.42 eV per atom
Size of the total moment = 0.0 μB/f.u.